# 1
VASP calculation (PBE-GGA) on a geometry-optimized SmTm5Ru4 structure.

```
SmTm5Ru4
1.0
3.371 0.000 0.000
0.000 3.371 0.000
0.000 0.000 18.968
Tm Ru Sm
5 4 1
direct
0.500 0.500 0.676
0.500 0.500 0.150
0.500 0.500 0.324
0.500 0.500 0.850
0.500 0.500 0.500
0.000 0.000 0.770
0.000 0.000 0.230
0.000 0.000 0.589
0.000 0.000 0.411
0.000 0.000 0.000
```

## Properties
energy of formation from the pure elements = -0.367 eV/atom
space-group type = P4/mmm, No. 123
total DFT energy (no corrections) = -0.49872 Ry/atom
DOS(E_F) = 9.17 states/eV/f.u.

***

# 2
VASP calculation (PBE-GGA) on a geometry-optimized SmTm2Ru9 structure.

```
SmTm2Ru9
1.0
-2.191 2.021 4.353
0.840 -2.284 4.681
6.516 4.908 4.198
Ru Tm Sm
9 2 1
direct
0.072 0.589 0.749
0.661 0.661 0.016
0.339 0.339 0.984
0.589 0.589 0.749
0.589 0.072 0.749
0.411 0.928 0.251
0.500 0.500 0.500
0.928 0.411 0.251
0.411 0.411 0.251
0.140 0.140 0.581
0.860 0.860 0.419
0.000 0.000 0.000
```

## Properties
energy of formation from the pure elements = -0.146 eV/atom
space-group type = R-3m, No. 166
total DFT energy (no corrections) = -0.60574 Ry/atom
DOS(E_F) = 17.09 states/eV/f.u.